## Pm7Si2Sb2 (PBE-GGA)

Data for crystalline Pm7Si2Sb2 at its relaxed geometry.

The structure belongs to space group Cmmm (No. 65); the cell edges are 9.1459, 11.1377 and 6.8043 Å and the angles 90.00°, 90.00° and 90.00°. The distinct sites, in fractional coordinates, are Pm at (0.0000, 0.0000, 0.0000), Pm at (0.0000, 0.5000, 0.2417), Pm at (0.2500, 0.2500, 0.2620), Si at (0.0000, 0.2715, 0.0000) and Sb at (0.1986, 0.0000, 0.5000).

The calculation puts the uncorrected formation energy at -496 meV/atom. Its density of states at the Fermi level is 11.91 states/eV/f.u.